K3BaI4 after structural relaxation. Source: Alexandria via LeMat-Bulk, functional PBE.

extended XYZ file:
```
16
Lattice="4.926 0.000 0.000 -2.463 4.266 0.000 0.000 0.000 34.796" Properties=species:S:1:pos:R:3 pbc="T T T"
I 2.463 1.422 32.656
I 0.000 2.844 2.140
I 0.000 2.844 15.258
I 2.463 1.422 19.538
I 0.000 0.000 28.396
I 0.000 0.000 6.400
I 0.000 0.000 10.998
I 0.000 0.000 23.798
K 0.000 0.000 0.000
K 0.000 0.000 17.398
K 0.000 2.844 30.528
K 2.463 1.422 4.268
K 2.463 1.422 13.130
K 0.000 2.844 21.666
Ba 2.463 1.422 26.097
Ba 0.000 2.844 8.699
```

Fermi-level density of states ... 0.858 states/eV/cell
ΔE_f (raw) ... -1.42 eV per atom
Total moment ... 1.97 μB/cell